# Co2SiIr PBE-GGA relaxed
data_Co2SiIr
_chemical_formula_sum 'Co4 Si2 Ir2'
_cell_length_a 8.680
_cell_length_b 2.741
_cell_length_c 4.317
_cell_angle_alpha 90.00
_cell_angle_beta 110.28
_cell_angle_gamma 90.00
_symmetry_space_group_name_H-M 'C 1 m 1'
_symmetry_Int_Tables_number 8
loop_
_symmetry_equiv_pos_as_xyz
'x,y,z'
'x,-y,z'
'x+1/2,y+1/2,z'
'x+1/2,-y+1/2,z'
loop_
_atom_site_label
_atom_site_fract_x
_atom_site_fract_y
_atom_site_fract_z
Co1 0.000 0.000 0.000
Co2 0.246 0.000 0.845
Si1 0.028 0.500 0.519
Ir1 0.281 0.500 0.362
# * ΔE_f (raw): -0.259 eV/atom
# * spin magnetization: 4.9 Bohr magnetons per cell
# * Fermi-level density of states: 6.1 states/eV/cell



# Ba2InRe PBE-GGA relaxed
data_Ba2InRe
_chemical_formula_sum 'Ba4 In2 Re2'
_cell_length_a 4.768
_cell_length_b 4.958
_cell_length_c 12.267
_cell_angle_alpha 90.00
_cell_angle_beta 90.00
_cell_angle_gamma 90.00
_symmetry_space_group_name_H-M 'A m m 2'
_symmetry_Int_Tables_number 38
loop_
_symmetry_equiv_pos_as_xyz
'x,y,z'
'-x,-y,z'
'-x,y,z'
'x,-y,z'
'x,y+1/2,z+1/2'
'-x,-y+1/2,z+1/2'
'-x,y+1/2,z+1/2'
'x,-y+1/2,z+1/2'
loop_
_atom_site_label
_atom_site_fract_x
_atom_site_fract_y
_atom_site_fract_z
Ba1 0.000 0.000 0.000
Ba2 0.500 0.000 0.286
In1 0.000 0.000 0.698
Re1 0.500 0.000 0.594
# * spin magnetization: 1.6 Bohr magnetons per cell
# * energy of formation: 558 meV per atom
# * Fermi-level density of states: 10.2 states/eV/cell



# KCo2Te PBE-GGA relaxed
data_KCo2Te
_chemical_formula_sum 'K2 Co4 Te2'
_cell_length_a 3.381
_cell_length_b 5.974
_cell_length_c 10.013
_cell_angle_alpha 90.00
_cell_angle_beta 90.00
_cell_angle_gamma 90.00
_symmetry_space_group_name_H-M 'I m m 2'
_symmetry_Int_Tables_number 44
loop_
_symmetry_equiv_pos_as_xyz
'x,y,z'
'-x,-y,z'
'-x,y,z'
'x,-y,z'
'x+1/2,y+1/2,z+1/2'
'-x+1/2,-y+1/2,z+1/2'
'-x+1/2,y+1/2,z+1/2'
'x+1/2,-y+1/2,z+1/2'
loop_
_atom_site_label
_atom_site_fract_x
_atom_site_fract_y
_atom_site_fract_z
K1 0.000 0.000 0.000
Co1 0.000 0.000 0.498
Co2 0.000 0.500 0.144
Te1 0.000 0.500 0.812
# * ΔE_f (raw): 0.479 eV/atom
# * spin magnetization: 6.1 Bohr magnetons per cell
# * Fermi-level density of states: 6.3 states/eV/cell



# PrDy5Ho5 PBE-GGA relaxed
data_PrDy5Ho5
_chemical_formula_sum 'Pr1 Dy5 Ho5'
_cell_length_a 6.0614
_cell_length_b 6.0614
_cell_length_c 11.5530
_cell_angle_alpha 90.00
_cell_angle_beta 90.00
_cell_angle_gamma 120.00
_symmetry_space_group_name_H-M 'P -6 m 2'
_symmetry_Int_Tables_number 187
_symmetry_space_group_name_Hall 'P -6 2'
loop_
_atom_site_label
_atom_site_fract_x
_atom_site_fract_y
_atom_site_fract_z
Pr1 0.0000 0.0000 0.0000
Dy1 0.0000 0.0000 0.3262
Dy2 0.3333 0.6667 0.1584
Dy3 0.6667 0.3333 0.0000
Ho1 0.0014 0.5007 0.5000
Ho2 0.6667 0.3333 0.2650
# * spin magnetization: 0.0 Bohr magnetons per cell
# * energy of formation: 318 meV per atom
# * Fermi-level density of states: 19.7 states/eV/cell